Entry 1:
Computed, not measured: a relaxed La2YAg crystal at the GGA-PBE level of DFT.

Cell and atoms, written as POSCAR:
```
La2YAg
1.0
3.745 0.000 0.000
0.000 4.947 0.000
-1.862 0.000 6.555
La Y Ag
2 1 1
Direct
0.000 0.000 0.000
0.438 0.500 0.803
0.666 0.500 0.342
0.224 0.000 0.505
```

As for the size of the total moment: 0.0 μB/cell. For the formation energy, the calculation gives -2 kJ per mole of atoms. The energy above the lowest structure with this stoichiometry is 0.41 eV per formula unit.

Entry 2:
Computed, not measured: a relaxed CsIn2I4 crystal at the GGA-PBE level of DFT.

Cell and atoms, written as POSCAR:
```
CsIn2I4
1.0
-3.556 3.556 8.240
3.556 -3.556 8.240
3.556 3.556 -8.240
Cs In I
1 2 4
Direct
0.000 0.000 0.000
0.410 0.410 0.000
0.590 0.590 0.000
0.000 0.500 0.500
0.241 0.241 0.000
0.500 0.000 0.500
0.759 0.759 0.000
```

As for the size of the total moment: 0.0 μB/cell. The uncorrected formation energy is -0.539 eV/atom. The energy above the lowest structure with this stoichiometry is 1.44 eV per formula unit.

no.,density of states at the Fermi level (states/eV per atom)
1,1.0564
2,0.7417